Density functional theory data (PBE-GGA) for a relaxed structure of Cs5K4Rb2.

Unit cell a=27.0383 b=8.1391 c=9.3942 alpha=90.00 beta=90.25 gamma=90.00
Closest atoms and distances in Å follow each position.
Space group C2/m (No. 12)
One atom of each set of equivalent atoms:
Cs 0.0000 0.0000 0.0000 (multiplicity 2)  6 K 4.97-5.04, 4 Rb 5.13-5.45
Cs 0.1329 0.5000 0.8289 (multiplicity 4)  5 K 4.90-5.08, 2 Rb 5.13, 2 Cs 5.20-5.46
Cs 0.2262 0.5000 0.3459 (multiplicity 4)  4 K 4.83-4.96, 1 Rb 5.12, 3 Cs 5.15-5.20
K 0.0436 0.5000 0.2915 (multiplicity 4)  1 K 4.58, 2 Rb 4.77, 5 Cs 4.90-5.04
K 0.1810 0.0000 0.0926 (multiplicity 4)  1 Rb 4.72, 7 Cs 4.83-5.08
Rb 0.0899 0.0000 0.5203 (multiplicity 4)  3 K 4.72-4.77, 1 Rb 4.87, 4 Cs 5.12-5.13

Calculated values
- M_tot: 0.00 μB per cell
- Volume: 93.97 Å³/atom
- DFT formation energy: 0.006 eV/atom


Density functional theory data (PBE-GGA) for a relaxed structure of InFe2Hg.

Unit cell a=4.0504 b=4.0504 c=8.1500 alpha=90.00 beta=90.00 gamma=90.00
Closest atoms and distances in Å follow each position.
Space group I4/mmm (No. 139)
One atom of each set of equivalent atoms:
In 0.0000 0.0000 0.0000 (multiplicity 2)  4 Hg 2.86, 8 Fe 2.87
Fe 0.0000 0.5000 0.2500 (multiplicity 4)  4 Fe 2.86, 4 Hg 2.87, 4 In 2.87
Hg 0.0000 0.0000 0.5000 (multiplicity 2)  4 In 2.86, 8 Fe 2.87

Calculated values
- M_tot: 10.57 μB per cell
- Volume: 16.71 Å³/atom
- DFT formation energy: 0.386 eV/atom


Density functional theory data (PBE-GGA) for a relaxed structure of Pu2PaPt4.

Unit cell a=7.9639 b=5.2594 c=7.8494 alpha=90.00 beta=120.16 gamma=90.00
Closest atoms and distances in Å follow each position.
Space group C2/m (No. 12)
One atom of each set of equivalent atoms:
Pu 0.1431 0.0000 0.2047 (multiplicity 4)  1 Pu 2.86, 8 Pt 2.95-3.10, 1 Pa 3.05
Pa 0.0000 0.0000 0.5000 (multiplicity 2)  8 Pt 2.97-3.00, 2 Pu 3.05
Pt 0.0765 0.5000 0.3671 (multiplicity 4)  3 Pt 2.90-3.04, 4 Pu 2.96-3.08, 3 Pa 2.99-3.00
Pt 0.2052 0.5000 0.0740 (multiplicity 4)  5 Pt 2.87-3.10, 4 Pu 2.95-3.10, 1 Pa 2.97

Calculated values
- M_tot: 22.78 μB per cell
- Volume: 20.31 Å³/atom
- DFT formation energy: -0.747 eV/atom


Among the records above, which one has the highest volume? Cs5K4Rb2


Look up the DFT formation energy of the first one. 0.006 eV/atom


The lowest M_tot belongs to which entry? Cs5K4Rb2


Look up the volume of the third one. 20.31 Å³/atom